# 1
Entry from the Alexandria database: a PBEsol-optimized structure of LiCdRe (meta-GGA SCAN).

As for the total moment: 0.90 μB per formula unit. The total energy is -34.070 eV per atom. Its space group is No. 44.

Cell lengths 2.566, 4.321, 8.616 Å; angles 90.00, 90.00, 90.00 degrees
Sites, in units of the cell vectors:
Li  0.000  0.000  0.000
Li  0.500  0.500  0.500
Cd  0.000  0.000  0.336
Cd  0.500  0.500  0.836
Re  0.000  0.000  0.666
Re  0.500  0.500  0.166

# 2
Entry from the Alexandria database: a PBEsol-optimized structure of Li3CdRe (meta-GGA SCAN).

As for the total moment: 3.52 μB per formula unit. The total energy is -20.455 eV per atom. Its space group is No. 221.

Cell lengths 4.615, 4.615, 4.615 Å; angles 90.00, 90.00, 90.00 degrees
Sites, in units of the cell vectors:
Li  0.000  0.000  0.500
Li  0.000  0.500  0.000
Li  0.500  0.000  0.000
Cd  0.000  0.000  0.000
Re  0.500  0.500  0.500

# 3
Entry from the Alexandria database: a PBEsol-optimized structure of LiCd3Rh (meta-GGA SCAN).

As for the total moment: 0.00 μB per formula unit. The total energy is -25.388 eV per atom. Its space group is No. 221.

Cell lengths 5.092, 5.092, 5.092 Å; angles 90.00, 90.00, 90.00 degrees
Sites, in units of the cell vectors:
Li  0.000  0.000  0.000
Cd  0.000  0.500  0.500
Cd  0.500  0.000  0.500
Cd  0.500  0.500  0.000
Rh  0.500  0.500  0.500